Compound: Zn4SnB2
Source: the Alexandria database
Functional: PBE
Structure: relaxed

The space group is I4/mmm (No. 139) and the conventional cell measures 5.2839, 5.2839 and 10.5925 Å, with angles of 90.00, 90.00 and 90.00 degrees. The asymmetric unit holds Zn at (0.0000, 0.0000, 0.2403), Zn at (0.0000, 0.5000, 0.0000), Sn at (0.0000, 0.0000, 0.0000) and B at (0.0000, 0.0000, 0.4275).

The value obtained for the total magnetic moment is 0.000 μB per cell. The energy relative to the elements is 0.751 eV/atom.